CrMoO2F | PBE with a Hubbard U | relaxed

The structure in POSCAR format:
```
CrMoO2F
1.0
3.9650 0.0000 0.0000
0.0000 3.9650 0.0000
0.0000 0.0000 3.8417
Cr Mo O F
1 1 2 1
Cartesian
0.0000 0.0000 0.0000
1.9825 1.9825 1.9209
0.0000 1.9825 0.0000
1.9825 0.0000 0.0000
0.0000 0.0000 1.9209
```

Results
The calculation puts the density of states at the Fermi level at 1.0 states/eV/f.u. As for the crystal system: tetragonal. The calculation puts the magnetic moment at 7.000 μB/cell. For the total energy, the calculation gives -6.4951 eV/atom.